Compound: ZnSn
Source: Alexandria
Functional: PBE
Structure: optimized geometry

Values from the calculation:
calculated formation energy: 0.144 eV per atom
magnetic moment: 0.00 μB/cell
E_tot: -2.49 eV per atom
crystal system: tetragonal
calculated volume: 50.4 Å³/f.u.

a b c (Å): 9.445 9.445 4.518
angles (deg): 90.00 90.00 90.00
Positions (direct):
Zn  0.673  0.573  0.500
Zn  0.327  0.427  0.500
Zn  0.427  0.673  0.500
Zn  0.573  0.327  0.500
Zn  0.947  0.183  0.000
Zn  0.053  0.817  0.000
Zn  0.817  0.947  0.000
Zn  0.183  0.053  0.000
Sn  0.878  0.357  0.500
Sn  0.122  0.643  0.500
Sn  0.643  0.878  0.500
Sn  0.357  0.122  0.500
Sn  0.816  0.654  0.000
Sn  0.184  0.346  0.000
Sn  0.346  0.816  0.000
Sn  0.654  0.184  0.000